(1)
# NaZn2Bi2

An optimized crystal structure of NaZn2Bi2 (PBE, Alexandria).

Values from the calculation:
* M_tot: 0.00 μB per formula unit
* space-group type: P-1, No. 2

Unit cell a=5.874 b=7.072 c=8.485 alpha=69.30 beta=74.80 gamma=68.05
Sites, in units of the cell vectors:
Na (0.076, 0.303, 0.318)
Na (0.924, 0.697, 0.682)
Zn (0.226, 0.172, 0.826)
Zn (0.473, 0.584, 0.239)
Zn (0.527, 0.416, 0.761)
Zn (0.774, 0.828, 0.174)
Bi (0.227, 0.743, 0.963)
Bi (0.463, 0.784, 0.482)
Bi (0.537, 0.216, 0.518)
Bi (0.773, 0.257, 0.037)

---

(2)
# Na2Zn2Bi

An optimized crystal structure of Na2Zn2Bi (PBE, Alexandria).

Values from the calculation:
* M_tot: 0.00 μB per formula unit
* space-group type: P4/mbm, No. 127

Unit cell a=7.257 b=7.257 c=4.907 alpha=90.00 beta=90.00 gamma=90.00
Sites, in units of the cell vectors:
Na (0.179, 0.321, 0.000)
Na (0.321, 0.821, 0.000)
Na (0.679, 0.179, 0.000)
Na (0.821, 0.679, 0.000)
Zn (0.120, 0.620, 0.500)
Zn (0.380, 0.120, 0.500)
Zn (0.620, 0.880, 0.500)
Zn (0.880, 0.380, 0.500)
Bi (0.000, 0.000, 0.500)
Bi (0.500, 0.500, 0.500)

---

(3)
# Na2ZnBi

An optimized crystal structure of Na2ZnBi (PBE, Alexandria).

Values from the calculation:
* M_tot: 0.00 μB per formula unit
* space-group type: Cmcm, No. 63

Unit cell a=9.574 b=8.422 c=5.477 alpha=90.00 beta=90.00 gamma=90.00
Sites, in units of the cell vectors:
Na (0.184, 0.149, 0.250)
Na (0.184, 0.851, 0.750)
Na (0.316, 0.351, 0.750)
Na (0.316, 0.649, 0.250)
Na (0.684, 0.351, 0.750)
Na (0.684, 0.649, 0.250)
Na (0.816, 0.149, 0.250)
Na (0.816, 0.851, 0.750)
Zn (0.000, 0.500, 0.000)
Zn (0.000, 0.500, 0.500)
Zn (0.500, 0.000, 0.000)
Zn (0.500, 0.000, 0.500)
Bi (0.000, 0.198, 0.750)
Bi (0.000, 0.802, 0.250)
Bi (0.500, 0.302, 0.250)
Bi (0.500, 0.698, 0.750)

---

(4)
# Na4ZnBi3

An optimized crystal structure of Na4ZnBi3 (PBE, Alexandria).

Values from the calculation:
* M_tot: 0.00 μB per formula unit
* space-group type: I4/mcm, No. 140

Unit cell a=9.287 b=9.287 c=9.287 alpha=96.12 beta=96.12 gamma=141.90
Sites, in units of the cell vectors:
Na (0.087, 0.774, 0.861)
Na (0.226, 0.087, 0.313)
Na (0.274, 0.587, 0.861)
Na (0.413, 0.274, 0.687)
Na (0.587, 0.726, 0.313)
Na (0.726, 0.413, 0.139)
Na (0.774, 0.913, 0.687)
Na (0.913, 0.226, 0.139)
Zn (0.250, 0.750, 0.500)
Zn (0.750, 0.250, 0.500)
Bi (0.142, 0.358, 0.500)
Bi (0.250, 0.250, 0.000)
Bi (0.358, 0.858, 0.216)
Bi (0.642, 0.142, 0.784)
Bi (0.750, 0.750, 0.000)
Bi (0.858, 0.642, 0.500)

---

(5)
# Na2ZnBi2

An optimized crystal structure of Na2ZnBi2 (PBE, Alexandria).

Values from the calculation:
* M_tot: 0.00 μB per formula unit
* space-group type: P4/mbm, No. 127

Unit cell a=9.464 b=9.464 c=3.472 alpha=90.00 beta=90.00 gamma=90.00
Sites, in units of the cell vectors:
Na (0.180, 0.320, 0.000)
Na (0.320, 0.820, 0.000)
Na (0.680, 0.180, 0.000)
Na (0.820, 0.680, 0.000)
Zn (0.000, 0.000, 0.000)
Zn (0.500, 0.500, 0.000)
Bi (0.114, 0.614, 0.500)
Bi (0.386, 0.114, 0.500)
Bi (0.614, 0.886, 0.500)
Bi (0.886, 0.386, 0.500)

---

(6)
# NaZn2Bi2

An optimized crystal structure of NaZn2Bi2 (PBE, Alexandria).

Values from the calculation:
* M_tot: 0.00 μB per formula unit
* space-group type: P4/mbm, No. 127

Unit cell a=8.578 b=8.578 c=3.542 alpha=90.00 beta=90.00 gamma=90.00
Sites, in units of the cell vectors:
Na (0.000, 0.000, 0.000)
Na (0.500, 0.500, 0.000)
Zn (0.141, 0.359, 0.500)
Zn (0.359, 0.859, 0.500)
Zn (0.641, 0.141, 0.500)
Zn (0.859, 0.641, 0.500)
Bi (0.154, 0.654, 0.000)
Bi (0.346, 0.154, 0.000)
Bi (0.654, 0.846, 0.000)
Bi (0.846, 0.346, 0.000)

---

(7)
# Na6ZnBi2

An optimized crystal structure of Na6ZnBi2 (PBE, Alexandria).

Values from the calculation:
* M_tot: 0.00 μB per formula unit
* space-group type: R-3m, No. 166

Unit cell a=11.077 b=11.077 c=11.077 alpha=28.59 beta=28.59 gamma=28.59
Sites, in units of the cell vectors:
Na (0.078, 0.078, 0.078)
Na (0.199, 0.199, 0.199)
Na (0.307, 0.307, 0.307)
Na (0.693, 0.693, 0.693)
Na (0.801, 0.801, 0.801)
Na (0.922, 0.922, 0.922)
Zn (0.500, 0.500, 0.500)
Bi (0.413, 0.413, 0.413)
Bi (0.587, 0.587, 0.587)

---

(8)
# Na4Zn5Bi6

An optimized crystal structure of Na4Zn5Bi6 (PBE, Alexandria).

Values from the calculation:
* M_tot: 0.00 μB per formula unit
* space-group type: Cmc2_1, No. 36

Unit cell a=10.570 b=10.570 c=17.952 alpha=90.00 beta=90.00 gamma=155.45
Sites, in units of the cell vectors:
Na (0.007, 0.993, 0.500)
Na (0.007, 0.993, 0.775)
Na (0.172, 0.828, 0.966)
Na (0.185, 0.815, 0.323)
Na (0.815, 0.185, 0.823)
Na (0.828, 0.172, 0.466)
Na (0.993, 0.007, 0.000)
Na (0.993, 0.007, 0.275)
Zn (0.128, 0.872, 0.644)
Zn (0.285, 0.715, 0.655)
Zn (0.360, 0.640, 0.036)
Zn (0.374, 0.626, 0.248)
Zn (0.397, 0.603, 0.731)
Zn (0.603, 0.397, 0.231)
Zn (0.626, 0.374, 0.748)
Zn (0.640, 0.360, 0.536)
Zn (0.715, 0.285, 0.155)
Zn (0.872, 0.128, 0.144)
Bi (0.120, 0.880, 0.139)
Bi (0.204, 0.796, 0.780)
Bi (0.219, 0.781, 0.519)
Bi (0.423, 0.577, 0.886)
Bi (0.429, 0.571, 0.390)
Bi (0.468, 0.532, 0.134)
Bi (0.532, 0.468, 0.634)
Bi (0.571, 0.429, 0.890)
Bi (0.577, 0.423, 0.386)
Bi (0.781, 0.219, 0.019)
Bi (0.796, 0.204, 0.280)
Bi (0.880, 0.120, 0.639)

---

| no. | DFT total energy (eV per atom) | N(E_F) (states/eV per atom) |
| --- | --- | --- |
| 1 | -2.324 | 0.192 |
| 2 | -1.900 | 0.301 |
| 3 | -2.116 | 0.343 |
| 4 | -2.471 | 0.845 |
| 5 | -2.318 | 0.565 |
| 6 | -2.283 | 0.446 |
| 7 | -2.105 | 0.226 |
| 8 | -2.442 | 0.231 |